[1]
This record from Alexandria describes In2PPt2 after structural relaxation. The functional is PBE.

Properties
Symmetry = P4/mbm, No. 127
Energy relative to the elements = -0.126 eV/atom
DOS(E_F) = 5.0 states/eV/cell

Lattice parameters (Å, degrees): 6.961 6.961 3.896 90.00 90.00 90.00
Fractional positions:
In1 0.842 0.342 0.500
In2 0.658 0.842 0.500
In3 0.158 0.658 0.500
In4 0.342 0.158 0.500
Pt1 0.851 0.649 0.000
Pt2 0.649 0.149 0.000
Pt3 0.149 0.351 0.000
Pt4 0.351 0.851 0.000
P1 0.500 0.500 0.000
P2 0.000 0.000 0.000

=====

[2]
This record from Alexandria describes Ba2MgRe after structural relaxation. The functional is PBE.

Properties
Symmetry = P2/m, No. 10
Energy relative to the elements = 1.142 eV/atom
DOS(E_F) = 4.2 states/eV/cell

Lattice parameters (Å, degrees): 3.449 7.741 6.640 47.90 90.00 90.00
Fractional positions:
Mg1 0.500 0.500 0.500
Ba1 0.000 0.000 0.000
Ba2 0.500 0.500 0.000
Re1 0.000 0.000 0.500

=====

[3]
This record from Alexandria describes NbSnSCl2 after structural relaxation. The functional is PBE.

Properties
Formation energy from raw total energies = 422.1 meV per atom
Symmetry = P4/mmm, No. 123
DOS(E_F) = 6.3 states/eV/cell
E above lowest polymorph = 0.794 eV/atom

Lattice parameters (Å, degrees): 5.200 5.200 5.262 90.00 90.00 90.00
Fractional positions:
Nb1 0.500 0.500 0.500
S1 0.000 0.000 0.500
Cl1 0.500 0.000 0.000
Cl2 0.000 0.500 0.000
Sn1 0.000 0.000 0.000

=====

[4]
This record from Alexandria describes HoTm2In after structural relaxation. The functional is PBE.

Properties
Symmetry = P4/mmm, No. 123
Energy relative to the elements = -0.260 eV/atom
DOS(E_F) = 4.9 states/eV/cell
E above lowest polymorph = 0.000 eV/atom

Lattice parameters (Å, degrees): 4.797 4.792 4.792 90.00 90.00 90.00
Fractional positions:
In1 0.500 0.500 0.500
Tm1 0.000 0.000 0.500
Tm2 0.000 0.500 0.000
Ho1 0.500 0.000 0.000

=====

[5]
This record from Alexandria describes SrPuGaN3 after structural relaxation. The functional is PBE.

Properties
Formation energy from raw total energies = -731.5 meV per atom
Symmetry = P2_1/m, No. 11
DOS(E_F) = 14.4 states/eV/cell

Lattice parameters (Å, degrees): 3.471 7.459 7.793 97.60 90.00 90.00
Fractional positions:
N1 0.250 0.837 0.515
N2 0.250 0.567 0.875
N3 0.750 0.433 0.125
N4 0.750 0.163 0.485
N5 0.250 0.153 0.849
N6 0.750 0.847 0.151
Ga1 0.250 0.111 0.597
Ga2 0.750 0.889 0.403
Sr1 0.250 0.169 0.195
Sr2 0.750 0.831 0.805
Pu1 0.250 0.637 0.157
Pu2 0.750 0.363 0.843

=====

[6]
This record from Alexandria describes NiAu2 after structural relaxation. The functional is PBE.

Properties
Symmetry = I4/mcm, No. 140
Energy relative to the elements = 0.130 eV/atom
DOS(E_F) = 5.4 states/eV/cell

Lattice parameters (Å, degrees): 5.071 5.071 5.071 103.22 103.22 122.87
Fractional positions:
Au1 0.840 0.660 0.500
Au2 0.160 0.340 0.500
Au3 0.340 0.840 0.181
Au4 0.660 0.160 0.819
Ni1 0.750 0.750 0.000
Ni2 0.250 0.250 0.000

=====

[7]
This record from Alexandria describes K3Er3ZrS8 after structural relaxation. The functional is PBE.

Properties
Formation energy from raw total energies = -1831.0 meV per atom
Symmetry = R-3m, No. 166
DOS(E_F) = 0.0 states/eV/cell

Lattice parameters (Å, degrees): 7.872 7.872 8.769 116.69 90.00 120.00
Fractional positions:
Er1 0.000 0.500 0.500
Er2 0.500 0.000 0.500
Er3 0.500 0.500 0.500
S1 0.733 0.466 0.699
S2 0.267 0.534 0.301
S3 0.776 0.031 0.307
S4 0.745 0.969 0.693
S5 0.224 0.969 0.693
S6 0.224 0.449 0.693
S7 0.255 0.031 0.307
S8 0.776 0.551 0.307
K1 0.000 0.000 0.000
K2 0.500 0.500 0.000
K3 0.000 0.500 0.000
Zr1 0.000 0.000 0.500

=====

[8]
This record from Alexandria describes RbHfI after structural relaxation. The functional is PBE.

Properties
Formation energy from raw total energies = -178.3 meV per atom
Symmetry = C2, No. 5
DOS(E_F) = 6.3 states/eV/cell
E above lowest polymorph = 0.060 eV/atom

Lattice parameters (Å, degrees): 16.099 5.259 5.259 90.00 98.74 90.00
Fractional positions:
I1 0.292 0.974 0.404
I2 0.708 0.974 0.596
I3 0.292 0.474 0.904
I4 0.708 0.474 0.096
Rb1 0.135 0.473 0.330
Rb2 0.865 0.973 0.170
Rb3 0.865 0.473 0.670
Rb4 0.135 0.973 0.830
Hf1 0.446 0.224 0.725
Hf2 0.554 0.224 0.275
Hf3 0.446 0.724 0.225
Hf4 0.554 0.724 0.775

=====

Record order is preserved below.
M_tot: 0.000, 0.499, 0.715, 0.000, 0.667, 0.111, 0.000, 0.000 μB/atom
Record order is preserved below.
Final energy: -4.719, -3.330, -3.957, -4.325, -8.068, -3.982, -5.734, -4.335 eV per atom